*i*
An optimized crystal structure of NdMg. Source: OQMD, functional PBE.

a = 3.4857 Å, b = 3.4857 Å, c = 5.6741 Å
α = 90.00°, β = 90.00°, γ = 120.00°
With the nearest neighbours (Å) after each atom.
Space group P-6m2 (No. 187)
Symmetry-distinct sites (fractional):
Nd 0.0000 0.0000 0.0000  6 Mg 3.48, 6 Nd 3.49
Mg 0.3333 0.6667 0.5000  6 Nd 3.48, 6 Mg 3.49

Summary:
Density, g/cm³: 4.69



*ii*
An optimized crystal structure of NdMg. Source: OQMD, functional PBE.

a = 5.4746 Å, b = 13.6526 Å, c = 6.2464 Å
α = 90.00°, β = 90.00°, γ = 90.00°
With the nearest neighbours (Å) after each atom.
Space group Pmmn (No. 59, origin choice 2)
Symmetry-distinct sites (fractional):
Nd 0.2500 0.0059 0.1601  6 Mg 3.33-3.72, 6 Nd 3.39-3.59
Nd 0.2500 0.1238 0.6470  7 Mg 3.39-3.58, 5 Nd 3.44-3.59
Mg 0.2500 0.2500 0.1500  6 Mg 3.28-3.36, 6 Nd 3.33-3.58
Mg 0.2500 0.6320 0.6729  4 Mg 3.22-3.36, 6 Nd 3.39-3.58
Mg 0.2500 0.7500 0.1381  4 Mg 3.28-3.32, 6 Nd 3.50

Summary:
Density, g/cm³: 4.80



What should be chosen as the least stable of them? Choose *i*.



*i*
An optimized crystal structure of KDyPO. Source: OQMD, functional PBE.

a = 4.0470 Å, b = 4.0470 Å, c = 5.0536 Å
α = 90.00°, β = 90.00°, γ = 90.00°
With the nearest neighbours (Å) after each atom.
Space group P4/mmm (No. 123)
Symmetry-distinct sites (fractional):
K 0.0000 0.0000 0.0000  2 P 2.53
Dy 0.5000 0.5000 0.5000  2 O 2.53
P 0.0000 0.0000 0.5000  2 K 2.53
O 0.5000 0.5000 0.0000  2 Dy 2.53

Summary:
Density, g/cm³: 4.99



*ii*
An optimized crystal structure of KDyPO. Source: OQMD, functional PBE.

a = 3.9916 Å, b = 3.9916 Å, c = 10.5560 Å
α = 90.00°, β = 90.00°, γ = 90.00°
With the nearest neighbours (Å) after each atom.
Space group P4/nmm (No. 129, origin choice 2)
Symmetry-distinct sites (fractional):
K 0.2500 0.7500 0.0000  4 K 2.82, 4 P 3.12
Dy 0.2500 0.2500 0.4000  4 O 2.26
P 0.2500 0.2500 0.7722  4 K 3.12, 4 Dy 3.36, 4 O 3.50
O 0.2500 0.7500 0.5000  4 Dy 2.26

Summary:
Density, g/cm³: 4.91



What should be chosen as the least stable of them? Choose *i*.



*i*
An optimized crystal structure of Sr2ZnSe. Source: OQMD, functional PBE.

a = 4.4275 Å, b = 4.4266 Å, c = 13.1997 Å
α = 90.00°, β = 90.43°, γ = 90.00°
With the nearest neighbours (Å) after each atom.
Space group P2_1/m (No. 11)
Symmetry-distinct sites (fractional):
Sr 0.2444 0.2500 0.1493  1 Se 3.10, 5 Zn 3.14-3.23
Sr 0.2510 0.2500 0.6212  5 Se 3.13
Zn 0.2576 0.2500 0.9119  5 Sr 3.14-3.23
Se 0.2491 0.2500 0.3841  6 Sr 3.10-3.13

Summary:
Density, g/cm³: 4.10



*ii*
An optimized crystal structure of Sr2ZnSe. Source: OQMD, functional PBE.

a = 4.5268 Å, b = 4.5294 Å, c = 12.7645 Å
α = 90.00°, β = 90.00°, γ = 90.00°
With the nearest neighbours (Å) after each atom.
Space group Pmc2_1 (No. 26)
Symmetry-distinct sites (fractional):
Sr 0.0000 0.0024 0.0000  2 Se 3.19, 4 Zn 3.20
Sr 0.5000 0.4975 0.7499  2 Zn 3.19, 4 Se 3.20
Zn 0.5000 0.4975 0.5001  6 Sr 3.19-3.20
Se 0.0000 0.0025 0.2498  6 Sr 3.19-3.20

Summary:
Density, g/cm³: 4.06



What should be chosen as the least stable of them? Choose *ii*.



*i*
An optimized crystal structure of MgTc. Source: OQMD, functional PBE.

a = 4.4583 Å, b = 4.4384 Å, c = 6.2537 Å
α = 90.00°, β = 90.00°, γ = 90.00°
With the nearest neighbours (Å) after each atom.
Space group Pnma (No. 62)
Symmetry-distinct sites (fractional):
Mg 0.0009 0.2500 0.1254  4 Mg 2.72, 4 Tc 2.72
Tc 0.0004 0.2500 0.6237  4 Tc 2.71-2.73, 4 Mg 2.72

Summary:
Density, g/cm³: 6.56



*ii*
An optimized crystal structure of MgTc. Source: OQMD, functional PBE.

a = 4.6418 Å, b = 5.4768 Å, c = 5.0872 Å
α = 90.00°, β = 90.00°, γ = 90.00°
With the nearest neighbours (Å) after each atom.
Space group Pmm2 (No. 25)
Symmetry-distinct sites (fractional):
Mg 0.0000 0.0000 0.0000  6 Tc 2.74-2.78, 6 Mg 2.80-3.06
Mg 0.0000 0.2662 0.4704  2 Mg 2.56-2.80, 4 Tc 2.78-2.86
Mg 0.5000 0.0000 0.6712  6 Tc 2.75-2.84, 6 Mg 2.86-2.92
Tc 0.0000 0.5000 0.9679  2 Tc 2.62, 6 Mg 2.74-2.86
Tc 0.5000 0.2275 0.1726  2 Tc 2.49-2.70, 4 Mg 2.78
Tc 0.5000 0.5000 0.7298  4 Tc 2.62-2.70, 2 Mg 2.75

Summary:
Density, g/cm³: 6.28



What should be chosen as the least stable of them? Choose *ii*.



*i*
An optimized crystal structure of NaTbFeTe3. Source: OQMD, functional PBE.

a = 8.9389 Å, b = 4.2184 Å, c = 10.0018 Å
α = 90.00°, β = 104.30°, γ = 90.00°
With the nearest neighbours (Å) after each atom.
Space group P2_1/m (No. 11)
Symmetry-distinct sites (fractional):
Na 0.2023 0.2500 0.2509  6 Te 3.18-3.43
Tb 0.3273 0.7500 0.8513  6 Te 3.06-3.15
Fe 0.0661 0.2500 0.5780  4 Te 2.63-2.71, 2 Fe 2.71
Te 0.0771 0.2500 0.8459  1 Fe 2.66
Te 0.2349 0.7500 0.5267  3 Fe 2.63-2.71
Te 0.4303 0.7500 0.1685  3 Tb 3.06-3.08, 2 Na 3.18

Summary:
Density, g/cm³: 5.64



*ii*
An optimized crystal structure of NaTbFeTe3. Source: OQMD, functional PBE.

a = 12.0164 Å, b = 4.4034 Å, c = 12.9133 Å
α = 90.00°, β = 90.00°, γ = 90.00°
With the nearest neighbours (Å) after each atom.
Space group Pnma (No. 62)
Symmetry-distinct sites (fractional):
Na 0.1986 0.2500 0.0136  7 Te 3.24-3.61, 2 Fe 3.48
Tb 0.0273 0.2500 0.3065  6 Te 3.10-3.32
Fe 0.2483 0.2500 0.7160  4 Te 2.59-2.63
Te 0.0530 0.7500 0.1387  1 Fe 2.59
Te 0.0986 0.2500 0.5683  1 Fe 2.62
Te 0.2116 0.7500 0.8224  2 Fe 2.63

Summary:
Density, g/cm³: 6.03



What should be chosen as the least stable of them? Choose *ii*.



*i*
An optimized crystal structure of AgPbSeO. Source: OQMD, functional PBE.

a = 4.4833 Å, b = 4.4833 Å, c = 8.7385 Å
α = 90.00°, β = 90.00°, γ = 90.00°
With the nearest neighbours (Å) after each atom.
Space group P4/nmm (No. 129, origin choice 2)
Symmetry-distinct sites (fractional):
Ag 0.2500 0.2500 0.2443  1 O 2.19
Pb 0.2500 0.7500 0.5000  4 Ag 3.16, 4 Pb 3.17, 4 Se 3.44
Se 0.2500 0.2500 0.7993  1 O 1.70
O 0.2500 0.2500 0.9936  1 Se 1.70

Summary:
Density, g/cm³: 7.75



*ii*
An optimized crystal structure of AgPbSeO. Source: OQMD, functional PBE.

a = 3.8542 Å, b = 3.8542 Å, c = 13.8401 Å
α = 90.00°, β = 90.00°, γ = 120.00°
With the nearest neighbours (Å) after each atom.
Space group P6_3mc (No. 186)
Symmetry-distinct sites (fractional):
Ag 0.0000 0.0000 0.0000  1 O 2.24
Pb 0.3333 0.6667 0.2745  3 O 2.39
Se 0.3333 0.6667 0.5947  3 Ag 2.58
O 0.0000 0.0000 0.3379  1 Ag 2.24, 3 Pb 2.39

Summary:
Density, g/cm³: 7.65



What should be chosen as the least stable of them? Choose *i*.